# Na6CdAu3

A relaxed structure of Na6CdAu3 (PBE-GGA, Alexandria).

Computed properties:
The value obtained for the total energy is -42.44 eV/cell. The calculation puts the energy of formation at -256 meV/atom. The space group is No. 14.

a = 5.1355 Å, b = 9.7301 Å, c = 10.9477 Å
α = 113.27°, β = 90.00°, γ = 90.00°
Positions (direct):
Na 0.0025 0.6789 0.3095
Na 0.9992 0.3459 0.0340
Na 0.5025 0.8211 0.1905
Na 0.9999 0.6615 0.6591
Na 0.4975 0.1789 0.8095
Na 0.5008 0.8459 0.5340
Na 0.4992 0.1541 0.4660
Na 0.0001 0.3385 0.3409
Na 0.5001 0.1615 0.1591
Na 0.9975 0.3211 0.6905
Na 0.0008 0.6541 0.9660
Na 0.4999 0.8385 0.8409
Au 0.0016 0.0024 0.2520
Au 0.5000 0.5000 0.0000
Au 0.9984 0.9976 0.7480
Au 0.4984 0.5024 0.7520
Au 0.0000 0.0000 0.5000
Au 0.5016 0.4976 0.2480
Cd 0.0000 0.0000 0.0000
Cd 0.5000 0.5000 0.5000